Record 1
Here is a relaxed MnHgPt2Au crystal from Alexandria. Energies are from PBE.

Properties
The calculation puts the formation energy from the elements at 963 meV per atom. The calculated total energy comes out at -4.0031 eV per atom.

```
MnHgPt2Au
1.0
4.5430 0.0000 0.0000
0.0000 4.9855 0.0000
0.0000 0.0000 4.5430
Pt Hg Au Mn
2 1 1 1
direct
0.0000 0.0000 0.5000
0.5000 0.0000 0.0000
0.0000 0.5000 0.0000
0.5000 0.5000 0.5000
0.0000 0.0000 0.0000
```

Record 2
Here is a relaxed ErRh3C crystal from Alexandria. Energies are from PBE.

Properties
The calculation puts the formation energy from the elements at -537 meV per atom. The calculated total energy comes out at -7.7056 eV per atom.

```
ErRh3C
1.0
4.1693 0.0000 0.0000
0.0000 4.1693 0.0000
0.0000 0.0000 4.1693
Rh C Er
3 1 1
direct
0.0000 0.5000 0.5000
0.5000 0.5000 0.0000
0.5000 0.0000 0.5000
0.5000 0.5000 0.5000
0.0000 0.0000 0.0000
```

Record 3
Here is a relaxed Sr6IrAu3 crystal from Alexandria. Energies are from PBE.

Properties
The calculation puts the formation energy from the elements at -511 meV per atom. The calculated total energy comes out at -3.3894 eV per atom.

```
Sr6IrAu3
1.0
7.5994 0.0000 0.2148
0.0000 8.2971 0.0000
0.2250 0.0000 11.1075
Sr Au Ir
12 6 2
direct
0.8446 0.9489 0.2431
0.3171 0.8293 0.0630
0.3403 0.8079 0.4261
0.1554 0.0511 0.7569
0.1597 0.3079 0.0739
0.8403 0.6921 0.9261
0.3446 0.5511 0.7431
0.6597 0.1921 0.5739
0.6829 0.1707 0.9370
0.6554 0.4489 0.2569
0.8171 0.6707 0.5630
0.1829 0.3293 0.4370
0.5492 0.8903 0.7602
0.0492 0.6097 0.2602
0.0000 0.0000 0.5000
0.5000 0.5000 0.0000
0.4508 0.1097 0.2398
0.9508 0.3903 0.7398
0.0000 0.0000 0.0000
0.5000 0.5000 0.5000
```

Record 4
Here is a relaxed CaAgBi3 crystal from Alexandria. Energies are from PBE.

Properties
The calculation puts the formation energy from the elements at 641 meV per atom. The offset from the most stable computed form comes out at 0.5376 eV per atom. The calculated total energy comes out at -2.6581 eV per atom.

```
CaAgBi3
1.0
5.8157 0.0000 0.0000
0.0000 5.8157 0.0000
0.0000 0.0000 5.8157
Bi Ca Ag
3 1 1
direct
0.5000 0.0000 0.0000
0.0000 0.0000 0.5000
0.0000 0.5000 0.0000
0.0000 0.0000 0.0000
0.5000 0.5000 0.5000
```